Record 1
DFT (PBE) results for an optimized crystal structure of Sr2BeSi.

Geometry as POSCAR:
```
Sr2BeSi
1.0
3.844 0.000 0.000
0.000 5.178 0.000
0.000 0.000 6.367
Sr Be Si
2 1 1
direct
0.000 0.000 0.000
0.500 0.500 0.490
0.000 0.000 0.503
0.500 0.500 0.988
```

Computed properties:
Excess energy over the best structure of this formula in the dataset = 2.22 eV/f.u.
E_tot = -2.6926 eV per atom
Symmetry = No. 25

=====

Record 2
DFT (PBE) results for an optimized crystal structure of SrBe2Si.

Geometry as POSCAR:
```
SrBe2Si
1.0
3.803 0.000 0.000
-1.901 3.293 0.000
0.000 0.000 17.041
Sr Be Si
3 6 3
direct
0.000 0.000 0.000
0.333 0.667 0.667
0.667 0.333 0.333
0.000 0.000 0.483
0.000 0.000 0.809
0.333 0.667 0.150
0.333 0.667 0.476
0.667 0.333 0.142
0.667 0.333 0.817
0.000 0.000 0.198
0.333 0.667 0.864
0.667 0.333 0.531
```

Computed properties:
E_tot = -3.7019 eV per atom
Symmetry = No. 160

=====

Record 3
DFT (PBE) results for an optimized crystal structure of Sr2BeSi.

Geometry as POSCAR:
```
Sr2BeSi
1.0
4.084 0.000 0.000
-2.042 3.537 0.000
0.000 0.000 26.181
Sr Be Si
6 3 3
direct
0.000 0.000 0.249
0.000 0.000 0.751
0.333 0.667 0.418
0.333 0.667 0.915
0.667 0.333 0.085
0.667 0.333 0.582
0.000 0.000 0.000
0.333 0.667 0.667
0.667 0.333 0.333
0.000 0.000 0.500
0.333 0.667 0.167
0.667 0.333 0.833
```

Computed properties:
Excess energy over the best structure of this formula in the dataset = 2.34 eV/f.u.
E_tot = -2.6616 eV per atom
Symmetry = No. 166

=====

Record 4
DFT (PBE) results for an optimized crystal structure of SrBe2Si.

Geometry as POSCAR:
```
SrBe2Si
1.0
5.913 0.000 0.000
0.000 9.781 0.000
-1.156 0.000 2.491
Sr Be Si
2 4 2
direct
0.000 0.000 0.000
0.500 0.500 0.000
0.250 0.250 0.500
0.250 0.750 0.500
0.750 0.250 0.500
0.750 0.750 0.500
0.000 0.500 0.000
0.500 0.000 0.000
```

Computed properties:
E_tot = -2.7694 eV per atom
Symmetry = No. 12

=====

Record 5
DFT (PBE) results for an optimized crystal structure of SrBe2Si.

Geometry as POSCAR:
```
SrBe2Si
1.0
3.843 0.000 0.000
0.000 5.919 0.000
0.000 0.000 7.027
Sr Be Si
2 4 2
direct
0.000 0.000 0.000
0.500 0.500 0.500
0.000 0.500 0.151
0.000 0.500 0.849
0.500 0.000 0.349
0.500 0.000 0.651
0.000 0.000 0.500
0.500 0.500 0.000
```

Computed properties:
E_tot = -3.2872 eV per atom
Symmetry = No. 71

=====

Record 6
DFT (PBE) results for an optimized crystal structure of Sr2BeSi.

Geometry as POSCAR:
```
Sr2BeSi
1.0
3.747 0.000 0.000
0.000 3.747 0.000
0.000 0.000 7.700
Sr Be Si
2 1 1
direct
0.000 0.000 0.249
0.000 0.000 0.751
0.500 0.500 0.000
0.500 0.500 0.500
```

Computed properties:
Excess energy over the best structure of this formula in the dataset = 1.20 eV/f.u.
E_tot = -2.9481 eV per atom
Symmetry = No. 123

=====

Record 7
DFT (PBE) results for an optimized crystal structure of SrBe3Si3.

Geometry as POSCAR:
```
SrBe3Si3
1.0
6.293 0.000 0.000
0.000 6.293 0.000
0.000 0.000 6.293
Sr Be Si
2 6 6
direct
0.000 0.000 0.000
0.500 0.500 0.500
0.000 0.250 0.500
0.000 0.750 0.500
0.250 0.500 0.000
0.500 0.000 0.250
0.500 0.000 0.750
0.750 0.500 0.000
0.000 0.500 0.250
0.000 0.500 0.750
0.250 0.000 0.500
0.500 0.250 0.000
0.500 0.750 0.000
0.750 0.000 0.500
```

Computed properties:
E_tot = -3.9746 eV per atom
Symmetry = No. 223

=====

Record 8
DFT (PBE) results for an optimized crystal structure of SrBe2Si.

Geometry as POSCAR:
```
SrBe2Si
1.0
4.297 0.000 0.000
0.000 4.726 0.000
0.000 0.000 6.766
Sr Be Si
2 4 2
direct
0.000 0.000 0.000
0.500 0.500 0.000
0.000 0.000 0.484
0.000 0.500 0.338
0.500 0.000 0.338
0.500 0.500 0.484
0.000 0.500 0.663
0.500 0.000 0.663
```

Computed properties:
E_tot = -3.2805 eV per atom
Symmetry = No. 35